A relaxed Lu2Sn2O7 crystal, computed with GGA-PBEsol.

POSCAR file:
```
Lu2Sn2O7
1.0
0.000 5.123 5.123
5.123 0.000 5.123
5.123 5.123 0.000
Lu Sn O
4 4 14
direct
0.000 0.000 0.000 Lu
0.000 0.000 0.500 Lu
0.000 0.500 0.000 Lu
0.500 0.000 0.000 Lu
0.000 0.500 0.500 Sn
0.500 0.000 0.500 Sn
0.500 0.500 0.000 Sn
0.500 0.500 0.500 Sn
0.125 0.125 0.125 O
0.157 0.157 0.593 O
0.157 0.593 0.157 O
0.157 0.593 0.593 O
0.407 0.407 0.843 O
0.407 0.843 0.407 O
0.407 0.843 0.843 O
0.593 0.157 0.157 O
0.593 0.157 0.593 O
0.593 0.593 0.157 O
0.843 0.407 0.407 O
0.843 0.407 0.843 O
0.843 0.843 0.407 O
0.875 0.875 0.875 O
```

formation energy (no corrections) = -2.64 eV per atom
total magnetization = 0.00 μB per formula unit

=====

A relaxed SrLu2O4 crystal, computed with GGA-PBEsol.

POSCAR file:
```
SrLu2O4
1.0
9.852 0.000 0.000
0.000 3.300 0.000
0.000 0.000 11.597
Sr Lu O
4 8 16
direct
0.247 0.250 0.151 Sr
0.253 0.750 0.651 Sr
0.747 0.250 0.349 Sr
0.753 0.750 0.849 Sr
0.074 0.250 0.388 Lu
0.078 0.250 0.891 Lu
0.422 0.750 0.391 Lu
0.426 0.750 0.888 Lu
0.574 0.250 0.112 Lu
0.578 0.250 0.609 Lu
0.922 0.750 0.109 Lu
0.926 0.750 0.612 Lu
0.018 0.750 0.783 O
0.074 0.250 0.576 O
0.122 0.750 0.020 O
0.210 0.750 0.331 O
0.290 0.250 0.831 O
0.378 0.250 0.520 O
0.426 0.750 0.076 O
0.482 0.250 0.283 O
0.518 0.750 0.717 O
0.574 0.250 0.924 O
0.622 0.750 0.480 O
0.710 0.750 0.169 O
0.790 0.250 0.669 O
0.878 0.250 0.980 O
0.926 0.750 0.424 O
0.982 0.250 0.217 O
```

formation energy (no corrections) = -3.51 eV per atom
total magnetization = 0.00 μB per formula unit

=====

A relaxed SrLu2O4 crystal, computed with GGA-PBEsol.

POSCAR file:
```
SrLu2O4
1.0
1.633 -5.397 0.000
1.633 5.397 0.000
0.000 0.000 10.846
Sr Lu O
2 4 8
direct
0.113 0.887 0.750 Sr
0.887 0.113 0.250 Sr
0.367 0.633 0.572 Lu
0.367 0.633 0.928 Lu
0.633 0.367 0.072 Lu
0.633 0.367 0.428 Lu
0.000 0.000 0.000 O
0.000 0.000 0.500 O
0.263 0.737 0.107 O
0.263 0.737 0.393 O
0.448 0.552 0.750 O
0.552 0.448 0.250 O
0.737 0.263 0.607 O
0.737 0.263 0.893 O
```

formation energy (no corrections) = -3.47 eV per atom
total magnetization = 0.00 μB per formula unit

=====

A relaxed SrLu2O4 crystal, computed with GGA-PBEsol.

POSCAR file:
```
SrLu2O4
1.0
0.000 4.754 4.754
4.754 0.000 4.754
4.754 4.754 0.000
Sr Lu O
2 4 8
direct
0.125 0.125 0.125 Sr
0.875 0.875 0.875 Sr
0.000 0.500 0.500 Lu
0.500 0.000 0.500 Lu
0.500 0.500 0.000 Lu
0.500 0.500 0.500 Lu
0.268 0.268 0.268 O
0.268 0.268 0.695 O
0.268 0.695 0.268 O
0.305 0.732 0.732 O
0.695 0.268 0.268 O
0.732 0.305 0.732 O
0.732 0.732 0.305 O
0.732 0.732 0.732 O
```

formation energy (no corrections) = -3.47 eV per atom
total magnetization = 0.00 μB per formula unit

=====

A relaxed Sr2LuTaO6 crystal, computed with GGA-PBEsol.

POSCAR file:
```
Sr2LuTaO6
1.0
0.000 4.109 4.109
4.109 0.000 4.109
4.109 4.109 0.000
Sr Lu Ta O
2 1 1 6
direct
0.250 0.250 0.250 Sr
0.750 0.750 0.750 Sr
0.000 0.000 0.000 Lu
0.500 0.500 0.500 Ta
0.259 0.259 0.741 O
0.259 0.741 0.259 O
0.259 0.741 0.741 O
0.741 0.259 0.259 O
0.741 0.259 0.741 O
0.741 0.741 0.259 O
```

formation energy (no corrections) = -3.23 eV per atom
total magnetization = 0.00 μB per formula unit

=====

A relaxed Sr2LuTaO6 crystal, computed with GGA-PBEsol.

POSCAR file:
```
Sr2LuTaO6
1.0
5.804 0.000 0.000
0.000 8.213 0.000
0.000 0.000 5.835
Sr Lu Ta O
4 2 2 12
direct
0.001 0.250 0.000 Sr
0.499 0.750 0.500 Sr
0.501 0.250 0.500 Sr
0.999 0.750 0.000 Sr
0.000 0.000 0.478 Lu
0.500 0.500 0.978 Lu
0.000 0.500 0.475 Ta
0.500 0.000 0.975 Ta
0.001 0.741 0.460 O
0.234 0.500 0.223 O
0.247 0.500 0.704 O
0.253 0.000 0.204 O
0.266 0.000 0.723 O
0.499 0.241 0.960 O
0.501 0.759 0.960 O
0.734 0.000 0.723 O
0.747 0.000 0.204 O
0.753 0.500 0.704 O
0.766 0.500 0.223 O
0.999 0.259 0.460 O
```

formation energy (no corrections) = -3.23 eV per atom
total magnetization = 0.00 μB per formula unit

=====

Q: The lowest formation energy (no corrections) belongs to which entry?
A: number 2